(1)
Material: CsHgIBr
Method: DFT, PBE
State: optimized geometry

Lattice parameters (Å, degrees): 6.084 6.084 6.084 60.00 60.00 60.00
Fractional coordinates of all 4 atoms:
Cs1 0.000 0.000 0.000
I1 0.500 0.500 0.500
Hg1 0.750 0.750 0.750
Br1 0.250 0.250 0.250

(2)
Material: CsInHg2Br4
Method: DFT, PBE
State: optimized geometry

Lattice parameters (Å, degrees): 9.238 8.689 9.840 134.62 133.68 77.21
Fractional coordinates of all 8 atoms:
Cs1 0.026 0.575 0.143
In1 0.667 0.667 0.371
Hg1 0.778 0.050 0.247
Hg2 0.237 0.404 0.527
Br1 0.646 0.619 0.584
Br2 0.564 0.262 0.926
Br3 0.392 0.820 0.218
Br4 0.076 0.991 0.758

(3)
Material: CsInHg2Br
Method: DFT, PBE
State: optimized geometry

Lattice parameters (Å, degrees): 5.718 5.718 6.350 90.00 90.00 90.00
Fractional coordinates of all 5 atoms:
Cs1 0.500 0.500 0.500
Hg1 0.000 0.500 0.000
Hg2 0.500 0.000 0.000
Br1 0.000 0.000 0.500
In1 0.000 0.000 0.000

(4)
Material: CsInHgBr2
Method: DFT, PBE
State: optimized geometry

Lattice parameters (Å, degrees): 4.868 6.991 13.057 88.03 90.29 110.55
Fractional coordinates of all 10 atoms:
Cs1 0.372 0.734 0.368
Cs2 0.628 0.266 0.632
In1 0.145 0.281 0.175
In2 0.855 0.719 0.825
Hg1 0.626 0.251 0.012
Hg2 0.374 0.749 0.988
Br1 0.351 0.708 0.647
Br2 0.649 0.292 0.353
Br3 0.075 0.155 0.825
Br4 0.925 0.845 0.175

(5)
Material: CsIn2HgBr8
Method: DFT, PBE
State: optimized geometry

Lattice parameters (Å, degrees): 7.273 7.273 11.303 71.23 71.23 60.00
Last column: magnetic moment on the atom in μB.
Fractional coordinates of all 12 atoms:
Cs1 0.500 0.500 0.500  0.00
In1 0.250 0.250 0.251  0.00
In2 0.750 0.750 0.749  0.00
Hg1 0.000 0.000 0.000  0.11
Br1 0.169 0.169 0.494  0.00
Br2 0.595 0.301 0.177  0.02
Br3 0.831 0.831 0.506  0.00
Br4 0.927 0.595 0.177  0.02
Br5 0.073 0.405 0.823  0.02
Br6 0.301 0.927 0.177  0.02
Br7 0.699 0.073 0.823  0.02
Br8 0.405 0.699 0.823  0.02

(6)
Material: CsInHgBr2
Method: DFT, PBE
State: optimized geometry

Lattice parameters (Å, degrees): 6.119 6.119 5.645 90.00 90.00 90.00
Fractional coordinates of all 5 atoms:
Cs1 0.500 0.500 0.500
Hg1 0.000 0.000 0.500
Br1 0.000 0.500 0.000
Br2 0.500 0.000 0.000
In1 0.000 0.000 0.000

(7)
Material: CsK2HgBr
Method: DFT, PBE
State: optimized geometry

Lattice parameters (Å, degrees): 6.367 6.367 7.136 90.00 90.00 90.00
Fractional coordinates of all 5 atoms:
Cs1 0.000 0.000 0.500
K1 0.000 0.500 0.000
K2 0.500 0.000 0.000
Hg1 0.500 0.500 0.500
Br1 0.000 0.000 0.000

(8)
Material: CsK2Hg2Br7
Method: DFT, PBE
State: optimized geometry

Lattice parameters (Å, degrees): 5.707 5.707 14.273 78.47 78.47 90.04
Fractional coordinates of all 12 atoms:
Cs1 0.000 0.000 0.000
K1 0.813 0.813 0.352
K2 0.187 0.187 0.648
Hg1 0.605 0.605 0.791
Hg2 0.395 0.395 0.209
Br1 0.500 0.500 0.000
Br2 0.306 0.306 0.408
Br3 0.694 0.694 0.592
Br4 0.900 0.395 0.202
Br5 0.395 0.900 0.202
Br6 0.605 0.100 0.798
Br7 0.100 0.605 0.798

(9)
Material: Cs2KHg2Br7
Method: DFT, PBE
State: optimized geometry

Lattice parameters (Å, degrees): 5.689 5.689 14.889 79.00 79.00 90.02
Fractional coordinates of all 12 atoms:
Cs1 0.825 0.825 0.352
Cs2 0.175 0.175 0.648
K1 0.000 0.000 0.000
Hg1 0.599 0.599 0.802
Hg2 0.401 0.401 0.198
Br1 0.500 0.500 0.000
Br2 0.305 0.305 0.390
Br3 0.695 0.695 0.610
Br4 0.911 0.411 0.180
Br5 0.411 0.911 0.180
Br6 0.589 0.089 0.820
Br7 0.089 0.589 0.820

(10)
Material: CsKHgBr4
Method: DFT, PBE
State: optimized geometry

Lattice parameters (Å, degrees): 7.880 7.841 9.886 90.00 107.73 90.00
Fractional coordinates of all 14 atoms:
Cs1 0.747 0.750 0.940
Cs2 0.253 0.250 0.060
K1 0.775 0.750 0.443
K2 0.225 0.250 0.557
Hg1 0.229 0.750 0.320
Hg2 0.771 0.250 0.680
Br1 0.006 0.509 0.734
Br2 0.994 0.009 0.266
Br3 0.994 0.491 0.266
Br4 0.006 0.991 0.734
Br5 0.419 0.750 0.138
Br6 0.581 0.250 0.862
Br7 0.439 0.750 0.585
Br8 0.561 0.250 0.415

(11)
Material: Cs4KHg3Br12
Method: DFT, PBE
State: optimized geometry

Lattice parameters (Å, degrees): 10.019 10.019 10.019 109.47 109.47 109.47
Fractional coordinates of all 20 atoms:
Cs1 0.500 0.500 0.500
Cs2 0.000 0.000 0.500
Cs3 0.500 0.000 0.000
Cs4 0.000 0.500 0.000
K1 0.000 0.000 0.000
Hg1 0.500 0.000 0.500
Hg2 0.500 0.500 0.000
Hg3 0.000 0.500 0.500
Br1 0.250 0.500 0.750
Br2 0.730 0.000 0.730
Br3 0.270 0.000 0.270
Br4 0.750 0.500 0.250
Br5 0.730 0.730 0.000
Br6 0.270 0.270 0.000
Br7 0.750 0.250 0.500
Br8 0.250 0.750 0.500
Br9 0.500 0.250 0.750
Br10 0.000 0.730 0.730
Br11 0.500 0.750 0.250
Br12 0.000 0.270 0.270

(12)
Material: Cs2KHgBr6
Method: DFT, PBE
State: optimized geometry

Lattice parameters (Å, degrees): 8.353 8.353 8.353 60.00 60.00 90.00
Last column: magnetic moment on the atom in μB.
Fractional coordinates of all 10 atoms:
Cs1 0.750 0.250 0.500  0.00
Cs2 0.250 0.750 0.500  0.00
K1 0.500 0.500 0.000  0.01
Hg1 0.000 0.000 0.000  0.09
Br1 0.234 0.234 0.531  0.11
Br2 0.766 0.766 0.469  0.11
Br3 0.235 0.235 0.000  0.11
Br4 0.765 0.765 0.000  0.11
Br5 0.765 0.235 0.000  0.11
Br6 0.235 0.765 0.000  0.11

no.,M_tot (Bohr magnetons per cell),D(E_F) (states/eV per cell),formation energy from raw total energies (eV per atom)
1,0.000,4.29,-0.6401
2,0.000,0.00,-0.8583
3,0.000,1.27,-0.5259
4,0.000,0.00,-0.9317
5,0.316,5.80,-0.8682
6,0.000,0.95,-0.9017
7,0.000,3.39,-0.6610
8,0.000,1.79,-1.0756
9,0.000,2.88,-1.0917
10,0.000,0.00,-1.2309
11,0.000,14.38,-1.0636
12,1.000,5.43,-1.1151